Entry from Alexandria: a geometry-optimized MgZrCdPd structure (PBE-GGA).

a = 3.196 Å, b = 3.196 Å, c = 7.601 Å
α = 90.00°, β = 90.00°, γ = 90.00°
Sites, in units of the cell vectors:
1 Mg 0.000 0.000 0.000
2 Zr 0.000 0.000 0.447
3 Cd 0.500 0.500 0.732
4 Pd 0.500 0.500 0.211

## Properties
- size of the total moment (μB per formula unit) = 0.00
- ΔE_f (eV per formula unit) = -1.64
- energy (eV per atom) = -4.473